Here is a geometry-optimized Pr6Ge2PtI3 structure from Alexandria via LeMat-Bulk. Energies are from PBE-GGA.

The space group is C2/m (12). As for the uncorrected energy: -5.080 eV per atom. The calculation puts the magnetization at 0.000 μB per atom. The value obtained for the calculated density is 6.7 Mg/m³. The formation energy (no corrections) is -1030 meV/atom.

Cell: 4.313 9.391 10.212 Å, 105.92 102.19 90.00°
Sites, in units of the cell vectors:
Pr 0.344 0.888 0.687
Pr 0.678 0.558 0.355
Pr 0.656 0.112 0.313
Pr 0.010 0.212 0.020
Pr 0.990 0.788 0.980
Pr 0.322 0.442 0.645
Ge 0.833 0.664 0.667
Ge 0.167 0.336 0.333
Pt 0.500 0.000 0.000
I 0.500 0.500 0.000
I 0.831 0.169 0.661
I 0.169 0.831 0.339